1:
The following is a PBE calculation of a relaxed TbDyTh crystal, from Alexandria.

Total moment (μB per cell): 0.0

Structure (CIF):
```
data_TbDyTh
_chemical_formula_sum 'Tb1 Dy1 Th1'
_symmetry_space_group_name_H-M 'P 3 m 1'
_symmetry_Int_Tables_number 156
_symmetry_space_group_name_Hall 'P 3 -2"'
_cell_length_a 3.5729
_cell_length_b 3.5729
_cell_length_c 8.6794
_cell_angle_alpha 90.00
_cell_angle_beta 90.00
_cell_angle_gamma 120.00
loop_
_atom_site_label
_atom_site_type_symbol
_atom_site_fract_x
_atom_site_fract_y
_atom_site_fract_z
_atom_site_occupancy
Tb1 Tb 0.0000 0.0000 0.0000 1
Dy1 Dy 0.6667 0.3333 0.3465 1
Th1 Th 0.3333 0.6667 0.6725 1
```

=====

2:
The following is a PBE calculation of a relaxed TbDyTh crystal, from Alexandria.

Total moment (μB per cell): 0.0

Structure (CIF):
```
data_TbDyTh
_chemical_formula_sum 'Tb4 Dy4 Th4'
_symmetry_space_group_name_H-M 'P 21 3'
_symmetry_Int_Tables_number 198
_symmetry_space_group_name_Hall 'P 2ac 2ab 3'
_cell_length_a 7.470
_cell_length_b 7.470
_cell_length_c 7.470
_cell_angle_alpha 90.00
_cell_angle_beta 90.00
_cell_angle_gamma 90.00
loop_
_atom_site_label
_atom_site_type_symbol
_atom_site_fract_x
_atom_site_fract_y
_atom_site_fract_z
_atom_site_occupancy
Tb1 Tb 0.209 0.291 0.709 1
Dy1 Dy 0.031 0.531 0.969 1
Th1 Th 0.127 0.127 0.127 1
```

=====

3:
The following is a PBE calculation of a relaxed TbDyTh crystal, from Alexandria.

Total moment (μB per cell): 0.0

Structure (CIF):
```
data_TbDyTh
_chemical_formula_sum 'Tb4 Dy4 Th4'
_symmetry_space_group_name_H-M 'C 1 2/m 1'
_symmetry_Int_Tables_number 12
_symmetry_space_group_name_Hall '-C 2y'
_cell_length_a 15.392
_cell_length_b 3.583
_cell_length_c 7.108
_cell_angle_alpha 90.00
_cell_angle_beta 103.00
_cell_angle_gamma 90.00
loop_
_atom_site_label
_atom_site_type_symbol
_atom_site_fract_x
_atom_site_fract_y
_atom_site_fract_z
_atom_site_occupancy
Tb1 Tb 0.000 0.000 0.000 1
Tb2 Tb 0.000 0.000 0.500 1
Dy1 Dy 0.170 0.500 0.331 1
Th1 Th 0.167 0.500 0.837 1
```

=====

The structure with the least stability is 2.

=====

1:
The following is a PBE calculation of a relaxed Tb3Dy2Th crystal, from Alexandria.

Total moment (μB per cell): 0.0

Structure (CIF):
```
data_Tb3Dy2Th
_chemical_formula_sum 'Tb12 Dy8 Th4'
_symmetry_space_group_name_H-M 'C m c m'
_symmetry_Int_Tables_number 63
_symmetry_space_group_name_Hall '-C 2c 2'
_cell_length_a 10.748
_cell_length_b 6.207
_cell_length_c 11.527
_cell_angle_alpha 90.00
_cell_angle_beta 90.00
_cell_angle_gamma 90.00
loop_
_atom_site_label
_atom_site_type_symbol
_atom_site_fract_x
_atom_site_fract_y
_atom_site_fract_z
_atom_site_occupancy
Tb1 Tb 0.000 0.000 0.000 1
Tb2 Tb 0.163 0.500 0.000 1
Dy1 Dy 0.166 0.167 0.250 1
Th1 Th 0.000 0.332 0.750 1
```

=====

2:
The following is a PBE calculation of a relaxed Tb3Dy2Th crystal, from Alexandria.

Total moment (μB per cell): 0.0

Structure (CIF):
```
data_Tb3Dy2Th
_chemical_formula_sum 'Tb12 Dy8 Th4'
_symmetry_space_group_name_H-M 'I b a m'
_symmetry_Int_Tables_number 72
_symmetry_space_group_name_Hall '-I 2 2c'
_cell_length_a 11.057
_cell_length_b 11.872
_cell_length_c 6.851
_cell_angle_alpha 90.00
_cell_angle_beta 90.00
_cell_angle_gamma 90.00
loop_
_atom_site_label
_atom_site_type_symbol
_atom_site_fract_x
_atom_site_fract_y
_atom_site_fract_z
_atom_site_occupancy
Tb1 Tb 0.000 0.000 0.250 1
Tb2 Tb 0.000 0.267 0.250 1
Dy1 Dy 0.243 0.198 0.000 1
Th1 Th 0.000 0.500 0.000 1
```

=====

The structure with the least stability is 2.

=====

1:
The following is a PBE calculation of a relaxed Tb3Dy8Th2 crystal, from Alexandria.

Total moment (μB per cell): 0.0

Structure (CIF):
```
data_Tb3Dy8Th2
_chemical_formula_sum 'Tb6 Dy16 Th4'
_symmetry_space_group_name_H-M 'P -1'
_symmetry_Int_Tables_number 2
_symmetry_space_group_name_Hall '-P 1'
_cell_length_a 6.133
_cell_length_b 7.681
_cell_length_c 18.582
_cell_angle_alpha 85.87
_cell_angle_beta 80.88
_cell_angle_gamma 77.32
loop_
_atom_site_label
_atom_site_type_symbol
_atom_site_fract_x
_atom_site_fract_y
_atom_site_fract_z
_atom_site_occupancy
Tb1 Tb 0.000 0.000 0.000 1
Tb2 Tb 0.000 0.000 0.500 1
Tb3 Tb 0.333 0.685 0.226 1
Tb4 Tb 0.430 0.242 0.292 1
Dy1 Dy 0.000 0.019 0.322 1
Dy2 Dy 0.112 0.556 0.076 1
Dy3 Dy 0.113 0.532 0.739 1
Dy4 Dy 0.232 0.095 0.815 1
Dy5 Dy 0.335 0.660 0.888 1
Dy6 Dy 0.365 0.646 0.562 1
Dy7 Dy 0.446 0.218 0.963 1
Dy8 Dy 0.448 0.182 0.614 1
Th1 Th 0.091 0.570 0.414 1
Th2 Th 0.221 0.120 0.146 1
```

=====

2:
The following is a PBE calculation of a relaxed Tb3Dy8Th2 crystal, from Alexandria.

Total moment (μB per cell): 0.0

Structure (CIF):
```
data_Tb3Dy8Th2
_chemical_formula_sum 'Tb6 Dy16 Th4'
_symmetry_space_group_name_H-M 'C m m m'
_symmetry_Int_Tables_number 65
_symmetry_space_group_name_Hall '-C 2 2'
_cell_length_a 7.374
_cell_length_b 20.710
_cell_length_c 5.659
_cell_angle_alpha 90.00
_cell_angle_beta 90.00
_cell_angle_gamma 90.00
loop_
_atom_site_label
_atom_site_type_symbol
_atom_site_fract_x
_atom_site_fract_y
_atom_site_fract_z
_atom_site_occupancy
Tb1 Tb 0.000 0.000 0.000 1
Tb2 Tb 0.224 0.500 0.500 1
Dy1 Dy 0.000 0.139 0.500 1
Dy2 Dy 0.000 0.333 0.500 1
Dy3 Dy 0.217 0.391 0.000 1
Th1 Th 0.000 0.245 0.000 1
```

=====

The structure with the least stability is 2.

=====

1:
The following is a PBE calculation of a relaxed Tb4DyTh crystal, from Alexandria.

Total moment (μB per cell): 0.0

Structure (CIF):
```
data_Tb4DyTh
_chemical_formula_sum 'Tb4 Dy1 Th1'
_symmetry_space_group_name_H-M 'P -1'
_symmetry_Int_Tables_number 2
_symmetry_space_group_name_Hall '-P 1'
_cell_length_a 3.555
_cell_length_b 6.162
_cell_length_c 9.435
_cell_angle_alpha 77.42
_cell_angle_beta 79.18
_cell_angle_gamma 73.46
loop_
_atom_site_label
_atom_site_type_symbol
_atom_site_fract_x
_atom_site_fract_y
_atom_site_fract_z
_atom_site_occupancy
Tb1 Tb 0.165 0.000 0.170 1
Tb2 Tb 0.165 0.505 0.663 1
Dy1 Dy 0.500 0.500 0.000 1
Th1 Th 0.500 0.000 0.500 1
```

=====

2:
The following is a PBE calculation of a relaxed Tb4DyTh crystal, from Alexandria.

Total moment (μB per cell): 0.0

Structure (CIF):
```
data_Tb4DyTh
_chemical_formula_sum 'Tb16 Dy4 Th4'
_symmetry_space_group_name_H-M 'C 1 2/c 1'
_symmetry_Int_Tables_number 15
_symmetry_space_group_name_Hall '-C 2yc'
_cell_length_a 8.793
_cell_length_b 14.587
_cell_length_c 6.641
_cell_angle_alpha 90.00
_cell_angle_beta 111.02
_cell_angle_gamma 90.00
loop_
_atom_site_label
_atom_site_type_symbol
_atom_site_fract_x
_atom_site_fract_y
_atom_site_fract_z
_atom_site_occupancy
Tb1 Tb 0.091 0.194 0.039 1
Tb2 Tb 0.200 0.378 0.374 1
Dy1 Dy 0.000 0.410 0.750 1
Th1 Th 0.000 0.001 0.750 1
```

=====

3:
The following is a PBE calculation of a relaxed Tb4DyTh crystal, from Alexandria.

Total moment (μB per cell): 8.1

Structure (CIF):
```
data_Tb4DyTh
_chemical_formula_sum 'Tb16 Dy4 Th4'
_symmetry_space_group_name_H-M 'F -4 3 m'
_symmetry_Int_Tables_number 216
_symmetry_space_group_name_Hall 'F -4 2 3'
_cell_length_a 9.255
_cell_length_b 9.255
_cell_length_c 9.255
_cell_angle_alpha 90.00
_cell_angle_beta 90.00
_cell_angle_gamma 90.00
loop_
_atom_site_label
_atom_site_type_symbol
_atom_site_fract_x
_atom_site_fract_y
_atom_site_fract_z
_atom_site_occupancy
Tb1 Tb 0.125 0.125 0.125 1
Dy1 Dy 0.000 0.000 0.500 1
Th1 Th 0.250 0.250 0.750 1
```

=====

The structure with the least stability is 3.